A relaxed structure of CrCIO2, computed with GGA+U.

Computed properties:
size of the total moment: 2.99 Bohr magnetons per cell
electronic total energy: -26.0 eV/cell

Unit cell a=3.6283 b=3.6283 c=7.4371 alpha=90.00 beta=90.00 gamma=90.00
With the nearest neighbours (Å) after each atom.
Space group P4/mmm (No. 123)
Asymmetric unit:
Cr  0.0000  0.0000  0.0000 [1 per cell]  4 O 1.81
C  0.5000  0.5000  0.5000 [1 per cell]  4 I 2.57
I  0.0000  0.0000  0.5000 [1 per cell]  4 C 2.57
O  0.0000  0.5000  0.0000 [2 per cell]  2 Cr 1.81